This record from Alexandria via LeMat-Bulk describes crystalline MgNi2AsO6 at its relaxed geometry. The functional is PBE with a Hubbard U.

abc: 5.0648 4.9500 5.4858
angles: 62.12 61.14 59.69
Closest atoms and distances in Å follow each position.
Fractional positions:
O1 0.7024 0.1277 0.7628  1 As 1.85, 1 Mg 2.00, 1 Ni 2.05
O2 0.1204 0.3981 0.7728  1 As 1.93, 2 Ni 1.94-2.13, 1 Mg 2.03
O3 0.9550 0.5948 0.2338  1 As 1.87, 2 Ni 1.95-2.06
O4 0.3956 0.7134 0.7694  1 As 1.90, 1 Ni 1.92, 1 Mg 2.04
O5 0.5958 0.2223 0.2265  1 As 1.88, 2 Ni 1.96-2.06
O6 0.2202 0.9526 0.2466  1 As 1.81, 1 Ni 2.02
As1 0.3274 0.3151 0.0298  6 O 1.81-1.93
Mg1 0.8125 0.8061 0.5733  5 O 2.00-2.20
Ni1 0.5216 0.5235 0.4321  6 O 2.02-2.14
Ni2 0.0108 0.0081 0.9680  6 O 1.92-2.10

Computed properties:
The value obtained for the total magnetization is 3.0 Bohr magnetons per cell. The value obtained for the total energy is -5.52 eV/atom.